VASP calculation (GGA-PBEsol) on a geometry-optimized BaTiSe2Br structure.

As for the formation energy from raw total energies: 0.272 eV per atom. As for the density of states at the Fermi level: 5.32 states/eV per cell.

a b c (Å): 5.8609 5.8609 5.8772
angles (deg): 90.00 90.00 90.00
Element x y z (fractional)
1 Ba 0.0000 0.0000 0.0000
2 Ti 0.5000 0.5000 0.5000
3 Se 0.0000 0.5000 0.0000
4 Se 0.5000 0.0000 0.0000
5 Br 0.0000 0.0000 0.5000


VASP calculation (GGA-PBEsol) on a geometry-optimized BaTlSe2Br structure.

As for the formation energy from raw total energies: -0.458 eV per atom. As for the density of states at the Fermi level: 2.69 states/eV per cell.

a b c (Å): 5.1980 5.1980 6.9008
angles (deg): 90.00 90.00 90.00
Element x y z (fractional)
1 Ba 0.0000 0.0000 0.0000
2 Tl 0.0000 0.0000 0.5000
3 Se 0.0000 0.5000 0.5000
4 Se 0.5000 0.0000 0.5000
5 Br 0.5000 0.5000 0.0000


VASP calculation (GGA-PBEsol) on a geometry-optimized BaSi4Br structure.

As for the formation energy from raw total energies: -0.026 eV per atom. As for the density of states at the Fermi level: 1.65 states/eV per cell.

a b c (Å): 5.5395 5.5395 5.5395
angles (deg): 60.00 60.00 60.00
Element x y z (fractional)
1 Ba 0.0000 0.0000 0.0000
2 Si 0.1312 0.6229 0.6229
3 Si 0.6229 0.1312 0.6229
4 Si 0.6229 0.6229 0.1312
5 Si 0.6229 0.6229 0.6229
6 Br 0.2500 0.2500 0.2500